# Pm3TmCl, relaxed, DFT PBE
data_Pm3TmCl
_chemical_formula_sum 'Pm3 Tm1 Cl1'
_cell_length_a 5.4072
_cell_length_b 5.4072
_cell_length_c 5.4072
_cell_angle_alpha 90.00
_cell_angle_beta 90.00
_cell_angle_gamma 90.00
_space_group_name_H-M_alt 'P m -3 m'
_space_group_IT_number 221
_space_group_name_Hall '-P 4 2 3'
loop_
_atom_site_label
_atom_site_fract_x
_atom_site_fract_y
_atom_site_fract_z
Pm1 0.0000 0.0000 0.5000
Tm1 0.5000 0.5000 0.5000
Cl1 0.0000 0.0000 0.0000
# **Raw total energy**: -22.980 eV per cell
# **V**: 31.62 Å³ per atom
# **ΔE_f (raw)**: -0.4820 eV/atom
# **Size of the total moment**: 0.000 μB per atom